1.
# Nd2TlRh PBE optimized geometry
# * polymorph energy (0 for the lowest one): 14.7 kJ/mol of formula units
# * crystal system: trigonal
# * raw total energy: -5.2941 eV/atom
data_Nd2TlRh
_chemical_formula_sum 'Nd6 Tl3 Rh3'
_space_group_name_H-M_alt 'R -3 m'
_space_group_IT_number 166
_space_group_name_Hall '-R 3 2"'
_cell_length_a 4.0243
_cell_length_b 4.0243
_cell_length_c 24.9920
_cell_angle_alpha 90.00
_cell_angle_beta 90.00
_cell_angle_gamma 120.00
loop_
_atom_site_label
_atom_site_type_symbol
_atom_site_fract_x
_atom_site_fract_y
_atom_site_fract_z
Nd1 Nd 0.0000 0.0000 0.2332
Tl1 Tl 0.0000 0.0000 0.0000
Rh1 Rh 0.0000 0.0000 0.5000

=====

2.
# Nd3TlRh2 PBE optimized geometry
# * crystal system: tetragonal
# * raw total energy: -5.7696 eV/atom
data_Nd3TlRh2
_chemical_formula_sum 'Nd3 Tl1 Rh2'
_space_group_name_H-M_alt 'P 4/m m m'
_space_group_IT_number 123
_space_group_name_Hall '-P 4 2'
_cell_length_a 3.5159
_cell_length_b 3.5159
_cell_length_c 12.1547
_cell_angle_alpha 90.00
_cell_angle_beta 90.00
_cell_angle_gamma 90.00
loop_
_atom_site_label
_atom_site_type_symbol
_atom_site_fract_x
_atom_site_fract_y
_atom_site_fract_z
Nd1 Nd 0.0000 0.0000 0.0000
Nd2 Nd 0.0000 0.0000 0.2919
Tl1 Tl 0.5000 0.5000 0.5000
Rh1 Rh 0.5000 0.5000 0.1498

=====

3.
# Nd2TlRh PBE optimized geometry
# * polymorph energy (0 for the lowest one): 0.0 kJ/mol of formula units
# * crystal system: orthorhombic
# * raw total energy: -5.3322 eV/atom
data_Nd2TlRh
_chemical_formula_sum 'Nd8 Tl4 Rh4'
_space_group_name_H-M_alt 'C m c m'
_space_group_IT_number 63
_space_group_name_Hall '-C 2c 2'
_cell_length_a 3.9578
_cell_length_b 14.8890
_cell_length_c 7.5209
_cell_angle_alpha 90.00
_cell_angle_beta 90.00
_cell_angle_gamma 90.00
loop_
_atom_site_label
_atom_site_type_symbol
_atom_site_fract_x
_atom_site_fract_y
_atom_site_fract_z
Nd1 Nd 0.0000 0.1404 0.9998
Tl1 Tl 0.0000 0.4987 0.2500
Rh1 Rh 0.0000 0.2972 0.2500

=====

4.
# Nd12Tl5Rh2 PBE optimized geometry
# * crystal system: monoclinic
# * raw total energy: -4.6006 eV/atom
data_Nd12Tl5Rh2
_chemical_formula_sum 'Nd24 Tl10 Rh4'
_space_group_name_H-M_alt 'C 1 2/m 1'
_space_group_IT_number 12
_cell_length_a 17.4669
_cell_length_b 7.9593
_cell_length_c 10.0244
_cell_angle_alpha 90.00
_cell_angle_beta 106.29
_cell_angle_gamma 90.00
loop_
_space_group_symop_operation_xyz
'x,y,z'
'-x,-y,-z'
'-x,y,-z'
'x,-y,z'
'x+1/2,y+1/2,z'
'-x+1/2,-y+1/2,-z'
'-x+1/2,y+1/2,-z'
'x+1/2,-y+1/2,z'
loop_
_atom_site_label
_atom_site_type_symbol
_atom_site_fract_x
_atom_site_fract_y
_atom_site_fract_z
Nd1 Nd 0.0005 0.0000 0.2349
Nd2 Nd 0.0145 0.5000 0.8243
Nd3 Nd 0.1505 0.2537 0.5756
Nd4 Nd 0.1630 0.2356 0.0926
Tl1 Tl 0.0000 0.5000 0.5000
Tl2 Tl 0.1923 0.0000 0.8406
Tl3 Tl 0.1970 0.0000 0.3670
Rh1 Rh 0.0000 0.2158 0.0000

=====

5.
# Nd5Tl5Rh PBE optimized geometry
# * crystal system: monoclinic
# * raw total energy: -4.2298 eV/atom
data_Nd5Tl5Rh
_chemical_formula_sum 'Nd10 Tl10 Rh2'
_space_group_name_H-M_alt 'C 1 2/m 1'
_space_group_IT_number 12
_cell_length_a 17.2818
_cell_length_b 7.7432
_cell_length_c 5.3878
_cell_angle_alpha 90.00
_cell_angle_beta 107.99
_cell_angle_gamma 90.00
loop_
_space_group_symop_operation_xyz
'x,y,z'
'-x,-y,-z'
'-x,y,-z'
'x,-y,z'
'x+1/2,y+1/2,z'
'-x+1/2,-y+1/2,-z'
'-x+1/2,y+1/2,-z'
'x+1/2,-y+1/2,z'
loop_
_atom_site_label
_atom_site_type_symbol
_atom_site_fract_x
_atom_site_fract_y
_atom_site_fract_z
Nd1 Nd 0.0000 0.0000 0.0000
Nd2 Nd 0.1465 0.2284 0.6465
Tl1 Tl 0.0000 0.5000 0.5000
Tl2 Tl 0.1543 0.5000 0.1544
Tl3 Tl 0.1987 0.0000 0.1982
Rh1 Rh 0.0000 0.0000 0.5000

=====

6.
# Nd7Tl2Rh2 PBE optimized geometry
# * polymorph energy (0 for the lowest one): 19.4 kJ/mol of formula units
# * crystal system: orthorhombic
# * raw total energy: -5.1384 eV/atom
data_Nd7Tl2Rh2
_chemical_formula_sum 'Nd14 Tl4 Rh4'
_space_group_name_H-M_alt 'C m m m'
_space_group_IT_number 65
_space_group_name_Hall '-C 2 2'
_cell_length_a 8.3209
_cell_length_b 11.4041
_cell_length_c 7.3233
_cell_angle_alpha 90.00
_cell_angle_beta 90.00
_cell_angle_gamma 90.00
loop_
_atom_site_label
_atom_site_type_symbol
_atom_site_fract_x
_atom_site_fract_y
_atom_site_fract_z
Nd1 Nd 0.0000 0.0000 0.0000
Nd2 Nd 0.0000 0.5000 0.2420
Nd3 Nd 0.2500 0.2500 0.2504
Tl1 Tl 0.1777 0.0000 0.5000
Rh1 Rh 0.0000 0.2901 0.0000

=====

7.
# Nd6Tl2Rh PBE optimized geometry
# * polymorph energy (0 for the lowest one): 76.3 kJ/mol of formula units
# * crystal system: monoclinic
# * raw total energy: -4.7995 eV/atom
data_Nd6Tl2Rh
_chemical_formula_sum 'Nd12 Tl4 Rh2'
_space_group_name_H-M_alt 'P 1 21/c 1'
_space_group_IT_number 14
_cell_length_a 7.4111
_cell_length_b 7.3623
_cell_length_c 12.8647
_cell_angle_alpha 90.00
_cell_angle_beta 123.41
_cell_angle_gamma 90.00
loop_
_space_group_symop_operation_xyz
'x,y,z'
'-x,-y,-z'
'-x,y+1/2,-z+1/2'
'x,-y+1/2,z+1/2'
loop_
_atom_site_label
_atom_site_type_symbol
_atom_site_fract_x
_atom_site_fract_y
_atom_site_fract_z
Nd1 Nd 0.1513 0.2014 0.4618
Nd2 Nd 0.2618 0.6885 0.4620
Nd3 Nd 0.3379 0.5018 0.7480
Tl1 Tl 0.2209 0.0658 0.7450
Rh1 Rh 0.5000 0.0000 0.5000

=====

8.
# Nd2Tl3Rh2 PBE optimized geometry
# * crystal system: orthorhombic
# * raw total energy: -4.9129 eV/atom
data_Nd2Tl3Rh2
_chemical_formula_sum 'Nd4 Tl6 Rh4'
_space_group_name_H-M_alt 'C m m m'
_space_group_IT_number 65
_space_group_name_Hall '-C 2 2'
_cell_length_a 4.2003
_cell_length_b 21.7370
_cell_length_c 3.9157
_cell_angle_alpha 90.00
_cell_angle_beta 90.00
_cell_angle_gamma 90.00
loop_
_atom_site_label
_atom_site_type_symbol
_atom_site_fract_x
_atom_site_fract_y
_atom_site_fract_z
Nd1 Nd 0.0000 0.1762 0.0000
Tl1 Tl 0.0000 0.0000 0.0000
Tl2 Tl 0.0000 0.4206 0.5000
Rh1 Rh 0.0000 0.2918 0.5000

=====

9.
# Nd2Tl2Rh3 PBE optimized geometry
# * crystal system: cubic
# * raw total energy: -5.5662 eV/atom
data_Nd2Tl2Rh3
_chemical_formula_sum 'Nd8 Tl8 Rh12'
_space_group_name_H-M_alt 'I 21 3'
_space_group_IT_number 199
_space_group_name_Hall 'I 2b 2c 3'
_cell_length_a 8.6750
_cell_length_b 8.6750
_cell_length_c 8.6750
_cell_angle_alpha 90.00
_cell_angle_beta 90.00
_cell_angle_gamma 90.00
loop_
_atom_site_label
_atom_site_type_symbol
_atom_site_fract_x
_atom_site_fract_y
_atom_site_fract_z
Nd1 Nd 0.2341 0.2341 0.2341
Tl1 Tl 0.0570 0.4430 0.5570
Rh1 Rh 0.0000 0.2500 0.0082

=====

10.
# Nd2Tl3Rh PBE optimized geometry
# * crystal system: orthorhombic
# * raw total energy: -4.3504 eV/atom
data_Nd2Tl3Rh
_chemical_formula_sum 'Nd2 Tl3 Rh1'
_space_group_name_H-M_alt 'P m m 2'
_space_group_IT_number 25
_cell_length_a 3.7727
_cell_length_b 5.0128
_cell_length_c 8.5529
_cell_angle_alpha 90.00
_cell_angle_beta 90.00
_cell_angle_gamma 90.00
loop_
_space_group_symop_operation_xyz
'x,y,z'
'-x,-y,z'
'-x,y,z'
'x,-y,z'
loop_
_atom_site_label
_atom_site_type_symbol
_atom_site_fract_x
_atom_site_fract_y
_atom_site_fract_z
Nd1 Nd 0.0000 0.0000 0.0000
Nd2 Nd 0.0000 0.5000 0.4219
Tl1 Tl 0.5000 0.0000 0.5894
Tl2 Tl 0.5000 0.5000 0.1222
Tl3 Tl 0.5000 0.5000 0.7767
Rh1 Rh 0.5000 0.0000 0.2621

=====

11.
# Nd6Tl2Rh PBE optimized geometry
# * polymorph energy (0 for the lowest one): 0.0 kJ/mol of formula units
# * crystal system: hexagonal
# * raw total energy: -4.8873 eV/atom
data_Nd6Tl2Rh
_chemical_formula_sum 'Nd6 Tl2 Rh1'
_space_group_name_H-M_alt 'P -6 2 m'
_space_group_IT_number 189
_space_group_name_Hall 'P -6 -2'
_cell_length_a 8.9714
_cell_length_b 8.9714
_cell_length_c 3.8983
_cell_angle_alpha 90.00
_cell_angle_beta 90.00
_cell_angle_gamma 120.00
loop_
_atom_site_label
_atom_site_type_symbol
_atom_site_fract_x
_atom_site_fract_y
_atom_site_fract_z
Nd1 Nd 0.0000 0.3994 0.0000
Nd2 Nd 0.0000 0.7591 0.5000
Tl1 Tl 0.3333 0.6667 0.5000
Rh1 Rh 0.0000 0.0000 0.0000

=====

12.
# Nd5Tl2Rh PBE optimized geometry
# * polymorph energy (0 for the lowest one): 100.3 kJ/mol of formula units
# * crystal system: orthorhombic
# * raw total energy: -4.7761 eV/atom
data_Nd5Tl2Rh
_chemical_formula_sum 'Nd10 Tl4 Rh2'
_space_group_name_H-M_alt 'I m m 2'
_space_group_IT_number 44
_cell_length_a 7.1613
_cell_length_b 9.3752
_cell_length_c 7.0506
_cell_angle_alpha 90.00
_cell_angle_beta 90.00
_cell_angle_gamma 90.00
loop_
_space_group_symop_operation_xyz
'x,y,z'
'-x,-y,z'
'-x,y,z'
'x,-y,z'
'x+1/2,y+1/2,z+1/2'
'-x+1/2,-y+1/2,z+1/2'
'-x+1/2,y+1/2,z+1/2'
'x+1/2,-y+1/2,z+1/2'
loop_
_atom_site_label
_atom_site_type_symbol
_atom_site_fract_x
_atom_site_fract_y
_atom_site_fract_z
Nd1 Nd 0.0000 0.0000 0.0000
Nd2 Nd 0.2430 0.2031 0.6113
Tl1 Tl 0.0000 0.5000 0.4032
Tl2 Tl 0.0000 0.5000 0.8226
Rh1 Rh 0.0000 0.0000 0.4546

=====

Respective N(E_F) values: 0.4829, 1.0158, 0.8225, 0.9963, 0.5017, 0.9671, 1.1166, 0.4664, 0.6930, 0.5622, 1.3014, 0.8418 states/eV/atom.
Respective formation energy values: -480.7, -540.8, -518.8, -192.8, -318.7, -337.5, -278.3, -436.2, -377.2, -352.8, -366.1, -285.7 meV/atom.